# 1
Here is an optimized crystal structure of PaPdN2 from the Alexandria database. Energies are from PBE.

a b c (Å): 3.261 3.261 5.965
angles (deg): 90.00 90.00 90.00
Sites, in units of the cell vectors:
N 0.000 0.000 0.626
N 0.000 0.000 0.874
Pa 0.500 0.500 0.750
Pd 0.500 0.500 0.250

Summary:
* formation energy (no corrections): -0.203 eV/atom
* energy above the most stable polymorph in this dataset: 529.3 meV per atom
* mass density: 9.6 Mg/m³
* calculated total energy: -8.038 eV per atom


# 2
Here is an optimized crystal structure of SmLuSn2 from the Alexandria database. Energies are from PBE.

a b c (Å): 3.991 3.991 6.771
angles (deg): 90.00 90.00 90.00
Sites, in units of the cell vectors:
Lu 0.500 0.500 0.500
Sm 0.500 0.500 0.000
Sn 0.000 0.000 0.732
Sn 0.000 0.000 0.268

Summary:
* energy relative to the elements: -0.5699 eV per atom
* mass density: 8.7 Mg/m³
* calculated total energy: -4.881 eV per atom


# 3
Here is an optimized crystal structure of PuScNiPd from the Alexandria database. Energies are from PBE.

a b c (Å): 4.763 4.763 4.763
angles (deg): 60.00 60.00 60.00
Sites, in units of the cell vectors:
Sc 0.750 0.750 0.750
Pd 0.500 0.500 0.500
Pu 0.250 0.250 0.250
Ni 0.000 0.000 0.000

Summary:
* energy relative to the elements: -0.3478 eV per atom
* mass density: 9.9 Mg/m³
* calculated total energy: -8.257 eV per atom


# 4
Here is an optimized crystal structure of Cd2IrRh from the Alexandria database. Energies are from PBE.

a b c (Å): 4.588 4.588 3.220
angles (deg): 90.00 90.00 90.00
Sites, in units of the cell vectors:
Ir 0.500 0.500 0.500
Rh 0.000 0.000 0.500
Cd 0.000 0.500 0.000
Cd 0.500 0.000 0.000

Summary:
* energy relative to the elements: 0.1442 eV per atom
* mass density: 12.7 Mg/m³
* calculated total energy: -4.367 eV per atom


# 5
Here is an optimized crystal structure of TlSnI2Br from the Alexandria database. Energies are from PBE.

a b c (Å): 6.195 5.615 6.195
angles (deg): 90.00 90.00 90.00
Sites, in units of the cell vectors:
I 0.500 0.000 0.000
I 0.000 0.000 0.500
Tl 0.000 0.000 0.000
Sn 0.500 0.500 0.500
Br 0.000 0.500 0.000

Summary:
* formation energy (no corrections): -0.002 eV/atom
* energy above the most stable polymorph in this dataset: 648.6 meV per atom
* mass density: 5.1 Mg/m³
* calculated total energy: -2.231 eV per atom